A relaxed structure of Pa2ZnGa5. Source: Alexandria, functional PBE.

Its total energy is -4.737 eV/atom. The formation enthalpy at 0 K comes out at -2.50 eV/f.u.

Lattice parameters (Å, degrees): 6.067 6.067 6.067 90.44 119.75 119.75
Fractional coordinates of all 8 atoms:
Pa (0.500, 0.278, 0.778)
Pa (0.500, 0.778, 0.278)
Zn (0.000, 0.778, 0.778)
Ga (0.500, 0.778, 0.778)
Ga (0.000, 0.778, 0.278)
Ga (0.000, 0.278, 0.778)
Ga (0.500, 0.278, 0.278)
Ga (0.000, 0.277, 0.277)